Compound: NdTl2MoO6
Source: the Alexandria database
Functional: PBE with a Hubbard U
Structure: optimized geometry Values from VASP.

Results
**V**: 221.1 Å³ per cell
**Total moment**: 0.00 μB/f.u.
**Uncorrected energy**: -6.161 eV per atom

Cell and atoms, written as Quantum ESPRESSO input:
```
&SYSTEM
  ibrav = 0, nat = 10, ntyp = 4
/
ATOMIC_SPECIES
Mo 95.94 Mo.upf
O 16.00 O.upf
Nd 144.24 Nd.upf
Tl 204.38 Tl.upf
CELL_PARAMETERS angstrom
6.119 0.000 0.000
0.000 6.459 0.000
0.000 -3.229 5.594
ATOMIC_POSITIONS angstrom
Mo 0.000 0.000 0.000
O 1.216 1.331 0.768
O 4.902 0.000 1.537
O 1.216 3.229 4.057
O 4.902 1.898 4.825
O 4.902 -1.898 4.825
O 1.216 5.128 0.768
Nd 3.059 0.000 0.000
Tl 0.159 3.229 1.865
Tl 5.960 0.000 3.729
```